# 1
A plane-wave DFT calculation with meta-GGA SCAN was carried out for a crystal of SrIn2Rh relaxed with PBEsol.

extended XYZ file:
```
4
Lattice="3.2303 0.0229 0.0368 -0.2429 5.5588 0.0174 -0.2429 -2.4469 4.9914" Properties=species:S:1:pos:R:3 pbc="T T T"
In -0.1214 2.7794 0.0087
Sr 1.6152 0.0114 0.0184
In -0.1214 -1.2235 2.4957
Rh 1.3723 1.5674 2.5228
```

Crystal system: monoclinic
D(E_F), states/eV/cell: 2.344
Energy of formation, eV/atom: 0.04
SG: C2/m (12)

***

# 2
A plane-wave DFT calculation with meta-GGA SCAN was carried out for a crystal of Co2AgOs relaxed with PBEsol.

extended XYZ file:
```
4
Lattice="-0.5179 1.4780 -2.0770 -3.6007 -0.3790 0.6282 0.0797 4.3994 3.1108" Properties=species:S:1:pos:R:3 pbc="T T T"
Os 0.0364 2.0063 1.4186
Co 0.0015 0.0806 0.0570
Ag -1.9984 3.9127 1.6537
Co -2.0385 1.6986 0.0881
```

Crystal system: orthorhombic
Distance to the lowest polymorph of the same formula, meV per atom: 155
D(E_F), states/eV/cell: 3.696
Energy of formation, eV/atom: 0.54
SG: Pmm2 (25)

***

# 3
A plane-wave DFT calculation with meta-GGA SCAN was carried out for a crystal of CrAg2W relaxed with PBEsol.

extended XYZ file:
```
4
Lattice="3.0643 0.0000 0.0000 0.0000 4.1907 0.0000 -1.5322 -2.0954 4.6951" Properties=species:S:1:pos:R:3 pbc="T T T"
Cr 0.0000 2.0954 0.0000
W 1.5322 0.0000 0.0000
Ag 1.5322 2.0954 2.2473
Ag 0.0000 0.0000 2.4479
```

Crystal system: orthorhombic
Distance to the lowest polymorph of the same formula, meV per atom: 14
D(E_F), states/eV/cell: 1.899
Energy of formation, eV/atom: 0.64
SG: Immm (71)

***

# 4
A plane-wave DFT calculation with meta-GGA SCAN was carried out for a crystal of FeCoNi2 relaxed with PBEsol.

extended XYZ file:
```
4
Lattice="2.4478 0.0000 0.0000 0.0000 3.4718 0.0000 0.0000 0.0000 4.9687" Properties=species:S:1:pos:R:3 pbc="T T T"
Ni 0.0000 0.0000 0.0073
Co 0.0000 0.0000 2.4496
Ni 1.2239 1.7359 1.2577
Fe 1.2239 1.7359 3.7385
```

Crystal system: orthorhombic
D(E_F), states/eV/cell: 3.334
Energy of formation, eV/atom: -0.05
SG: Pmm2 (25)

***

# 5
A plane-wave DFT calculation with meta-GGA SCAN was carried out for a crystal of Ba2NaCrSn relaxed with PBEsol.

extended XYZ file:
```
5
Lattice="-3.3450 -1.3806 -3.7294 4.7583 -1.7615 -3.6157 -0.3036 -5.7424 2.3980" Properties=species:S:1:pos:R:3 pbc="T T T"
Cr 0.5549 -4.4422 -2.4736
Na 0.0000 0.0000 0.0000
Ba 2.3791 -0.8807 -1.8079
Sn -1.6725 -0.6903 -1.8647
Ba -0.1518 -2.8712 1.1990
```

Crystal system: tetragonal
D(E_F), states/eV/cell: 2.199
Energy of formation, eV/atom: 0.41
SG: P4/mmm (123)

***

# 6
A plane-wave DFT calculation with meta-GGA SCAN was carried out for a crystal of Cr2ReHg relaxed with PBEsol.

extended XYZ file:
```
4
Lattice="-1.6984 2.3570 -0.7451 0.6847 -0.4201 -2.8896 -5.1530 -3.9190 -0.6512" Properties=species:S:1:pos:R:3 pbc="T T T"
Cr -3.6752 -2.7951 -0.4645
Re -3.0833 -0.9910 -2.1429
Hg -0.5068 0.9684 -1.8173
Cr -1.4777 -1.1238 -0.1868
```

Crystal system: tetragonal
D(E_F), states/eV/cell: 3.319
Energy of formation, eV/atom: 0.25
SG: P4/mmm (123)

***

# 7
A plane-wave DFT calculation with meta-GGA SCAN was carried out for a crystal of Bi2PbSe relaxed with PBEsol.

extended XYZ file:
```
8
Lattice="-0.4499 -5.7276 -2.3624 2.7916 -2.3019 5.0495 -8.2953 3.1184 2.1865" Properties=species:S:1:pos:R:3 pbc="T T T"
Bi -5.8120 1.2389 2.1869
Bi 0.1813 -3.6219 3.9802
Se 1.1708 -4.0148 1.3436
Bi -1.4019 -4.8558 0.4719
Bi -4.8746 -2.5834 3.1082
Se -3.7872 -3.3120 0.5839
Pb -2.1664 -1.5991 4.2898
Pb 0.0000 0.0000 0.0000
```

Crystal system: tetragonal
Distance to the lowest polymorph of the same formula, meV per atom: 0
D(E_F), states/eV/cell: 3.849
ΔE_f (raw), eV/atom: 0.151
SG: I-42d (122)

***

# 8
A plane-wave DFT calculation with meta-GGA SCAN was carried out for a crystal of Na5AlH8O8 relaxed with PBEsol.

extended XYZ file:
```
88
Lattice="9.2299 0.0000 0.0000 0.0000 9.2299 0.0000 0.0000 0.0000 9.4942" Properties=species:S:1:pos:R:3 pbc="T T T"
O 1.1631 8.0138 0.4221
O 3.3989 3.4518 2.7956
O 5.7994 7.7432 9.3076
O 8.0807 3.2563 2.6508
O 7.7432 5.7994 0.1866
O 3.3443 5.3555 4.6607
O 8.0138 1.1631 9.0721
H 7.2092 3.3340 7.7860
H 6.8396 1.4181 1.7291
O 5.9735 1.1492 2.0963
H 6.6356 7.9489 8.8288
Na 3.3764 8.2146 9.1522
O 3.4658 1.3586 9.2170
O 1.1845 6.1016 2.5601
H 1.2810 2.5943 5.4125
Na 8.1123 8.1123 4.7471
Na 1.2019 5.7071 0.2632
O 5.8310 5.7781 7.5427
H 5.7023 4.2232 5.0822
H 0.3917 1.0873 2.7086
H 1.2657 9.0135 4.5572
O 5.3555 3.3443 4.8335
H 7.9489 6.6356 0.6654
Na 5.8168 8.1376 2.1103
Al 1.1971 8.0327 2.3735
O 7.9593 8.4893 7.2071
H 4.2232 5.7023 4.4120
Na 1.0152 5.8534 5.0891
Na 5.7325 3.4974 2.3735
Na 5.8534 1.0152 4.4051
Na 3.4974 5.7325 7.1206
Na 1.2385 3.5997 7.4626
Na 5.6302 7.9914 6.7787
Al 5.8120 5.8120 0.0000
O 3.1283 8.0454 2.1870
O 3.8743 5.8855 0.0864
H 2.3902 7.8118 6.4762
Na 3.5997 1.2385 2.0316
Na 8.1376 5.8168 7.3839
Na 7.9914 5.6302 2.7155
H 5.8959 2.0206 6.4552
O 5.8855 3.8743 9.4078
H 7.9641 0.2163 9.3043
O 5.7641 7.8712 4.4699
H 4.3986 3.3492 6.9307
H 5.8807 4.8312 7.3106
H 5.0067 3.5276 9.1591
O 1.2161 8.0667 4.3250
O 6.1016 1.1845 6.9341
O 1.3586 3.4658 0.2772
O 1.1492 5.9735 7.3979
Na 3.4130 1.0922 6.8574
H 6.0330 7.0052 4.1026
O 8.0667 1.2161 5.1692
H 1.0873 0.3917 6.7856
O 8.4893 7.9593 2.2871
H 0.2163 7.9641 0.1899
Al 3.4178 3.4178 4.7471
O 8.0454 3.1283 7.3072
H 9.0135 1.2657 4.9370
H 7.8118 2.3902 3.0180
Al 8.0327 1.1971 7.1206
H 2.5943 1.2810 4.0817
H 3.1969 2.2247 8.8497
Na 3.5227 8.0279 4.4839
H 2.0206 5.8959 3.0390
O 1.4867 3.4304 4.9337
H 2.2247 3.1969 0.6445
H 8.1425 8.8381 2.0385
O 3.4518 3.3989 6.6986
H 3.3340 7.2092 1.7081
O 3.4304 1.4867 4.5605
H 4.8312 5.8807 2.1836
O 0.7406 1.2706 7.0342
H 7.0052 6.0330 5.3916
H 8.8381 8.1425 7.4557
O 1.2706 0.7406 2.4600
O 5.7781 5.8310 1.9515
H 1.4181 6.8396 7.7651
O 3.2563 8.0807 6.8434
Na 8.0279 3.5227 5.0103
Na 1.0922 3.4130 2.6368
H 3.3492 4.3986 2.5635
Na 8.2146 3.3764 0.3420
Na 1.1175 1.1175 0.0000
O 7.8712 5.7641 5.0243
H 3.5276 5.0067 0.3351
Na 5.7071 1.2019 9.2310
```

Crystal system: tetragonal
D(E_F), states/eV/cell: 0.000
SG: P4_32_12 (96)
Electronic total energy, eV per atom: -6.442

***

- Look up the D(E_F) of the eighth one.
  0.000 states/eV/cell

***

- Which formula does entry 7 have?
  Bi2PbSe

***

- Among the records above, which one has the highest D(E_F)?
  Bi2PbSe

***

- Among the records above, which one has the highest D(E_F)?
  Bi2PbSe